P.
Here is Li4ZnAg7 after structural relaxation from the Alexandria database. Energies are from GGA-PBE.

Properties
The value obtained for the theoretical density is 6.3 Mg/m³. The space group is C2/m.

a b c (Å): 4.9611 9.1281 5.6783
angles (deg): 81.78 64.10 74.23
Positions (direct):
Li  0.7263  0.6924  0.8549
Li  0.2737  0.3076  0.1451
Li  0.3942  0.7762  0.4353
Li  0.6058  0.2238  0.5647
Ag  0.2008  0.0813  0.5172
Ag  0.7992  0.9187  0.4828
Ag  0.5000  0.0000  0.0000
Ag  0.9611  0.3775  0.7003
Ag  0.0389  0.6225  0.2997
Ag  0.6513  0.4715  0.2260
Ag  0.3487  0.5285  0.7740
Zn  0.0000  0.0000  0.0000

Q.
Here is Li4ZnAg7 after structural relaxation from the Alexandria database. Energies are from GGA-PBE.

Properties
The value obtained for the theoretical density is 7.1 Mg/m³. The space group is P-1.

a b c (Å): 5.7003 4.9766 8.2368
angles (deg): 74.81 63.91 92.49
Positions (direct):
Ag  0.2504  0.4902  0.9969
Ag  0.9980  0.6711  0.3345
Ag  0.7428  0.1548  0.3413
Ag  0.0020  0.3289  0.6655
Ag  0.5000  0.0000  0.0000
Ag  0.7496  0.5098  0.0031
Ag  0.2572  0.8452  0.6587
Zn  0.0000  0.0000  0.0000
Li  0.7522  0.8221  0.6713
Li  0.4998  0.3316  0.6664
Li  0.5002  0.6684  0.3336
Li  0.2478  0.1779  0.3287

Least stable of them? P.

P.
Here is LiZn2Ag8 after structural relaxation from the Alexandria database. Energies are from GGA-PBE.

Properties
The value obtained for the theoretical density is 8.4 Mg/m³. The space group is C2/m.

a b c (Å): 4.7755 7.1674 7.1674
angles (deg): 117.25 102.94 102.94
Positions (direct):
Ag  0.5000  0.7842  0.2158
Ag  0.8829  0.9095  0.6758
Ag  0.1171  0.3242  0.0905
Ag  0.5000  0.2158  0.7842
Ag  0.6844  0.3937  0.3937
Ag  0.1171  0.0905  0.3242
Ag  0.8829  0.6758  0.9095
Ag  0.3156  0.6063  0.6063
Zn  0.0000  0.3082  0.6918
Zn  0.0000  0.6918  0.3082
Li  0.5000  0.0000  0.0000

Q.
Here is LiZn2Ag8 after structural relaxation from the Alexandria database. Energies are from GGA-PBE.

Properties
The value obtained for the theoretical density is 8.9 Mg/m³. The space group is C2/m.

a b c (Å): 4.2417 6.6231 7.3706
angles (deg): 108.53 106.72 90.00
Positions (direct):
Zn  0.7748  0.3567  0.5496
Zn  0.2252  0.6433  0.4504
Ag  0.9526  0.2694  0.9052
Ag  0.3198  0.0758  0.6396
Ag  0.6802  0.9242  0.3604
Ag  0.8588  0.8012  0.7176
Ag  0.5970  0.4588  0.1940
Ag  0.0474  0.7306  0.0948
Ag  0.4030  0.5412  0.8060
Ag  0.1412  0.1988  0.2824
Li  0.5000  0.0000  0.0000

Least stable of them? P.

P.
Here is Li5Zn4Ag2 after structural relaxation from the Alexandria database. Energies are from GGA-PBE.

Properties
The value obtained for the theoretical density is 4.8 Mg/m³. The space group is C2/m.

a b c (Å): 5.3450 5.3450 7.0516
angles (deg): 78.78 78.78 64.51
Positions (direct):
Li  0.3438  0.7868  0.1811
Li  0.2132  0.6562  0.8189
Li  0.7868  0.3438  0.1811
Li  0.0000  0.0000  0.5000
Li  0.6562  0.2132  0.8189
Ag  0.8416  0.8416  0.1395
Ag  0.1584  0.1584  0.8605
Zn  0.3014  0.3014  0.1633
Zn  0.6986  0.6986  0.8367
Zn  0.3439  0.3439  0.5057
Zn  0.6561  0.6561  0.4943

Q.
Here is Li5Zn4Ag2 after structural relaxation from the Alexandria database. Energies are from GGA-PBE.

Properties
The value obtained for the theoretical density is 4.8 Mg/m³. The space group is C2/m.

a b c (Å): 5.5704 5.2990 7.8543
angles (deg): 92.22 69.23 58.29
Positions (direct):
Ag  0.7614  0.3294  0.1478
Ag  0.2386  0.6706  0.8522
Zn  0.3562  0.7901  0.4976
Zn  0.7019  0.7007  0.8955
Zn  0.6438  0.2099  0.5024
Zn  0.2981  0.2993  0.1045
Li  0.2101  0.8535  0.2090
Li  0.7274  0.8535  0.2090
Li  0.7899  0.1465  0.7910
Li  0.0000  0.5000  0.5000
Li  0.2726  0.1465  0.7910

Least stable of them? P.

P.
Here is LiZn6Ag2 after structural relaxation from the Alexandria database. Energies are from GGA-PBE.

Properties
The value obtained for the theoretical density is 6.9 Mg/m³. The space group is Fm-3m.

a b c (Å): 5.9352 5.9352 5.9352
angles (deg): 60.00 60.00 60.00
Positions (direct):
Ag  0.7500  0.7500  0.7500
Ag  0.2500  0.2500  0.2500
Zn  0.2776  0.7224  0.7224
Zn  0.7224  0.7224  0.2776
Zn  0.2776  0.2776  0.7224
Zn  0.7224  0.2776  0.2776
Zn  0.2776  0.7224  0.2776
Zn  0.7224  0.2776  0.7224
Li  0.0000  0.0000  0.0000

Q.
Here is LiZn6Ag2 after structural relaxation from the Alexandria database. Energies are from GGA-PBE.

Properties
The value obtained for the theoretical density is 7.1 Mg/m³. The space group is P-3m1.

a b c (Å): 5.1897 5.6456 5.6456
angles (deg): 59.99 90.01 90.01
Positions (direct):
Zn  0.3224  0.3618  0.8191
Zn  0.3224  0.8191  0.3618
Zn  0.6777  0.1809  0.1809
Zn  0.6776  0.6382  0.1809
Zn  0.3223  0.8191  0.8191
Zn  0.6776  0.1809  0.6382
Ag  0.1624  0.3333  0.3333
Ag  0.8376  0.6667  0.6667
Li  0.0000  0.0000  0.0000

Least stable of them? P.